Record 1
Material: Ti6Al2Cr
Method: DFT, PBE
State: relaxed

Cell lengths 5.6672, 12.0761, 4.4449 Å; angles 90.00, 90.00, 90.00 degrees
Space group Cmmm (No. 65)
One atom of each set of equivalent atoms:
Ti  0.2415  0.0000  0.0000
Ti  0.2431  0.1457  0.5000
Al  0.0000  0.2456  0.0000
Cr  0.0000  0.5000  0.5000



Record 2
Material: Ti2Al3Cr2
Method: DFT, PBE
State: relaxed

Cell lengths 4.0940, 18.4984, 2.6998 Å; angles 90.00, 90.00, 90.00 degrees
Space group Cmmm (No. 65)
One atom of each set of equivalent atoms:
Ti  0.0000  0.0762  0.0000
Al  0.0000  0.3438  0.5000
Al  0.0000  0.5000  0.5000
Cr  0.0000  0.2169  0.0000



Record 3
Material: TiAlCr
Method: DFT, PBE
State: relaxed

Cell lengths 2.5888, 15.4648, 4.2961 Å; angles 90.00, 90.00, 90.00 degrees
Space group Cmcm (No. 63)
One atom of each set of equivalent atoms:
Ti  0.0000  0.0487  0.2500
Al  0.0000  0.3717  0.2500
Cr  0.0000  0.2090  0.2500



What total moment values result from the calculations? In sequence: 0.000; 0.000; 0.002 μB per atom.
What E_tot values result from the calculations? In sequence: -126.67; -95.06; -85.14 eV/cell.